Record 1
DFT (PBE) results for a relaxed LiInHBr2 crystal.

Lattice parameters (Å, degrees): 5.097 5.097 5.478 90.00 90.00 90.00
Element x y z (fractional)
Li 0.000 0.000 0.000
In 0.000 0.000 0.500
H 0.500 0.500 0.500
Br 0.000 0.500 0.000
Br 0.500 0.000 0.000

Output
E = -2.383 eV per atom

Record 2
DFT (PBE) results for a relaxed Tl2HgMo crystal.

Lattice parameters (Å, degrees): 5.413 5.413 3.060 90.00 90.00 90.00
Element x y z (fractional)
Tl 0.000 0.500 0.000
Tl 0.500 0.000 0.000
Hg 0.000 0.000 0.500
Mo 0.500 0.500 0.500

Output
excess energy over the best structure of this formula in the dataset = 118 meV per atom
formation enthalpy at 0 K = 0.6682 eV per atom

Record 3
DFT (PBE) results for a relaxed CoTc2W crystal.

Lattice parameters (Å, degrees): 4.322 4.322 4.322 60.00 60.00 60.00
Element x y z (fractional)
Co 0.000 0.000 0.000
Tc 0.250 0.250 0.250
Tc 0.500 0.500 0.500
W 0.750 0.750 0.750

Output
excess energy over the best structure of this formula in the dataset = 223 meV per atom
formation enthalpy at 0 K = 0.2557 eV per atom

Record 4
DFT (PBE) results for a relaxed Sc2Al5ZnTc2 crystal.

Lattice parameters (Å, degrees): 10.071 10.071 3.434 90.00 90.00 90.00
Element x y z (fractional)
Sc 0.189 0.311 0.000
Sc 0.311 0.811 0.000
Sc 0.689 0.189 0.000
Sc 0.811 0.689 0.000
Al 0.000 0.500 0.500
Al 0.050 0.801 0.500
Al 0.199 0.050 0.500
Al 0.301 0.550 0.500
Al 0.450 0.301 0.500
Al 0.500 0.000 0.500
Al 0.550 0.699 0.500
Al 0.699 0.450 0.500
Al 0.801 0.950 0.500
Al 0.950 0.199 0.500
Zn 0.000 0.000 0.000
Zn 0.500 0.500 0.000
Tc 0.125 0.625 0.000
Tc 0.375 0.125 0.000
Tc 0.625 0.875 0.000
Tc 0.875 0.375 0.000

Output
formation enthalpy at 0 K = -0.2158 eV per atom

no.,N(E_F) (states/eV/f.u.)
1,0.00
2,2.90
3,5.87
4,6.71